No. 1
## Li2TlH2 (PBE-GGA)

Data for an optimized crystal structure of Li2TlH2.

abc: 6.5219 6.5219 3.1964
angles: 90.00 90.00 90.00
With the nearest neighbours (Å) after each atom.
Element x y z (fractional)
Li: 0.1511 0.3489 0.0000  6 H 2.49
Li: 0.3489 0.8489 0.0000  6 H 2.49
Li: 0.6511 0.1511 0.0000  6 H 2.49
Li: 0.8489 0.6511 0.0000  6 H 2.49
Tl: 0.0000 0.0000 0.5000  4 H 2.51
Tl: 0.5000 0.5000 0.5000  4 H 2.51
H: 0.1424 0.6424 0.5000  6 Li 2.49, 2 Tl 2.51, 1 H 2.63
H: 0.3576 0.1424 0.5000  6 Li 2.49, 2 Tl 2.51, 1 H 2.63
H: 0.6424 0.8576 0.5000  6 Li 2.49, 2 Tl 2.51, 1 H 2.63
H: 0.8576 0.3576 0.5000  6 Li 2.49, 2 Tl 2.51, 1 H 2.63

Properties
The space-group type is P4/mbm (127). The energy above the lowest structure with this stoichiometry comes out at 1.14 eV per formula unit.

No. 2
## LiTlH (PBE-GGA)

Data for an optimized crystal structure of LiTlH.

abc: 6.4649 6.4649 6.1832
angles: 90.00 90.00 55.59
With the nearest neighbours (Å) after each atom.
Element x y z (fractional)
Li: 0.1468 0.8532 0.8467  3 H 1.75-1.82
Li: 0.3532 0.6468 0.3467  3 H 1.75-1.82
Li: 0.6468 0.3532 0.6533  3 H 1.75-1.82
Li: 0.8532 0.1468 0.1533  3 H 1.75-1.82
Tl: 0.2025 0.2025 0.5000  4 Tl 3.20-3.28, 4 H 3.23-3.34, 4 Li 3.28-3.29
Tl: 0.2975 0.2975 0.0000  4 Tl 3.20-3.28, 4 H 3.23-3.34, 4 Li 3.28-3.29
Tl: 0.7025 0.7025 0.0000  4 Tl 3.20-3.28, 4 H 3.23-3.34, 4 Li 3.28-3.29
Tl: 0.7975 0.7975 0.5000  4 Tl 3.20-3.28, 4 H 3.23-3.34, 4 Li 3.28-3.29
H: 0.1547 0.8453 0.1404  3 Li 1.75-1.82
H: 0.3453 0.6547 0.6404  3 Li 1.75-1.82
H: 0.6547 0.3453 0.3596  3 Li 1.75-1.82
H: 0.8453 0.1547 0.8596  3 Li 1.75-1.82

Properties
The space-group type is Cmce (64). The energy above the lowest structure with this stoichiometry comes out at 0.01 eV per formula unit.

No. 3
## Li2TlH (PBE-GGA)

Data for an optimized crystal structure of Li2TlH.

abc: 2.9930 2.9930 7.2182
angles: 90.00 90.00 90.00
With the nearest neighbours (Å) after each atom.
Element x y z (fractional)
Li: 0.0000 0.0000 0.1815  4 H 2.49, 1 Li 2.62
Li: 0.0000 0.0000 0.8185  4 H 2.49, 1 Li 2.62
Tl: 0.5000 0.5000 0.5000  4 Tl 2.99, 8 Li 3.12
H: 0.5000 0.5000 0.0000  8 Li 2.49

Properties
The space-group type is P4/mmm (123). The energy above the lowest structure with this stoichiometry comes out at 0.74 eV per formula unit.

No. 4
## Li6Tl2H (PBE-GGA)

Data for an optimized crystal structure of Li6Tl2H.

abc: 5.9499 5.9499 5.9499
angles: 120.39 120.39 89.33
With the nearest neighbours (Å) after each atom.
Element x y z (fractional)
Li: 0.2397 0.2397 0.4794  1 H 2.00
Li: 0.2397 0.7603 0.0000  1 H 2.00
Li: 0.2419 0.2419 0.0000  1 H 2.05
Li: 0.7581 0.7581 0.0000  1 H 2.05
Li: 0.7603 0.2397 0.0000  1 H 2.00
Li: 0.7603 0.7603 0.5206  1 H 2.00
Tl: 0.2500 0.7500 0.5000  12 Li 2.96-2.98
Tl: 0.7500 0.2500 0.5000  12 Li 2.96-2.98
H: 0.0000 0.0000 0.0000  6 Li 2.00-2.05

Properties
For the total energy, the calculation gives -2.42 eV per atom. The space-group type is I4/mmm (139).